! ZnW3 (PBE-GGA, relaxed); values from VASP
&SYSTEM
  ibrav = 0, nat = 4, ntyp = 2
/
ATOMIC_SPECIES
Zn 65.41 Zn.upf
W 183.84 W.upf
CELL_PARAMETERS angstrom
2.711 0.000 0.000
0.904 5.178 0.000
-0.904 2.589 4.484
ATOMIC_POSITIONS angstrom
Zn 0.904 1.295 2.242
W 1.807 2.589 0.000
W 0.000 3.884 2.242
W 0.000 0.000 0.000
! Excess energy over the best structure of this formula in the dataset = 0.081 eV per atom
! Energy of formation = 0.92 eV per formula unit
! Total moment = 0.000 μB/atom

! CeBiH2 (PBE-GGA, relaxed); values from VASP
&SYSTEM
  ibrav = 0, nat = 4, ntyp = 3
/
ATOMIC_SPECIES
Bi 208.98 Bi.upf
Ce 140.12 Ce.upf
H 1.01 H.upf
CELL_PARAMETERS angstrom
-2.074 -1.582 2.753
0.750 -3.537 1.145
3.028 0.237 5.030
ATOMIC_POSITIONS angstrom
Bi 0.851 -2.441 4.464
Ce 0.000 0.000 0.000
H 1.879 -3.324 7.343
H -0.176 -1.558 1.585
! Excess energy over the best structure of this formula in the dataset = 0.000 eV per atom
! Total moment = 0.080 μB/atom

! NbGa3Ni12 (PBE-GGA, relaxed); values from VASP
&SYSTEM
  ibrav = 0, nat = 16, ntyp = 3
/
ATOMIC_SPECIES
Ni 58.69 Ni.upf
Ga 69.72 Ga.upf
Nb 92.91 Nb.upf
CELL_PARAMETERS angstrom
-1.353 1.797 -2.837
-3.358 -0.786 1.103
-0.271 12.030 7.748
ATOMIC_POSITIONS angstrom
Ni -1.915 10.093 7.305
Ni -2.424 3.543 1.089
Ni -2.355 0.505 -0.867
Ni -1.781 4.134 3.467
Ni -0.846 8.401 3.414
Ni -2.491 6.520 3.007
Ni -0.913 11.384 5.335
Ni -1.714 1.151 1.546
Ni -0.778 5.426 1.497
Ni -0.711 2.443 -0.424
Ni -1.848 7.110 5.384
Ni -2.558 9.498 4.925
Ga -0.136 6.015 3.874
Ga -0.202 8.962 5.772
Ga -0.069 3.068 1.976
Nb 0.000 0.000 0.000
! Energy of formation = -4.97 eV per formula unit
! Total moment = 0.077 μB/atom

! Np2Ga9Rh3 (PBE-GGA, relaxed); values from VASP
&SYSTEM
  ibrav = 0, nat = 28, ntyp = 3
/
ATOMIC_SPECIES
Rh 102.91 Rh.upf
Ga 69.72 Ga.upf
Np 237.00 Np.upf
CELL_PARAMETERS angstrom
7.017 -0.021 -2.948
-4.121 6.399 -0.013
0.285 0.201 10.479
ATOMIC_POSITIONS angstrom
Rh 5.327 1.166 2.767
Rh -2.147 5.413 4.751
Rh 0.078 2.362 9.975
Rh 1.590 3.290 3.759
Rh 3.508 -0.010 -1.474
Rh 3.103 4.217 -2.457
Ga 2.838 5.594 3.439
Ga 2.413 2.306 -0.827
Ga 5.840 0.937 5.276
Ga -0.358 6.012 6.485
Ga 0.767 4.273 8.345
Ga 3.202 1.324 4.332
Ga -0.022 5.255 3.186
Ga 6.078 0.134 -1.880
Ga 4.474 2.134 7.352
Ga 3.538 0.567 1.033
Ga -2.659 5.642 2.242
Ga 1.195 1.907 1.626
Ga 3.656 3.110 2.120
Ga 0.342 0.985 4.079
Ga -2.898 6.446 9.398
Ga -0.475 3.469 5.398
Ga 1.986 4.672 5.892
Ga -1.293 4.445 0.166
Np 1.657 4.842 0.657
Np 1.523 1.737 6.861
Np -2.192 3.890 7.864
Np 5.372 2.690 -0.346
! Energy of formation = -6.49 eV per formula unit
! Total moment = 0.538 μB/atom

! Ba4Sn3PbO12 (PBE-GGA, relaxed); values from VASP
&SYSTEM
  ibrav = 0, nat = 20, ntyp = 4
/
ATOMIC_SPECIES
O 16.00 O.upf
Sn 118.71 Sn.upf
Pb 207.20 Pb.upf
Ba 137.33 Ba.upf
CELL_PARAMETERS angstrom
-4.515 -5.361 -2.141
5.863 0.157 -4.394
2.149 -1.226 6.898
ATOMIC_POSITIONS angstrom
O 2.053 -0.274 0.642
O -0.606 -1.688 1.219
O 4.343 -1.836 -0.382
O -1.760 -4.899 3.538
O 0.083 -4.249 -2.078
O 1.003 -3.870 -4.860
O -0.846 -4.594 0.745
O 0.346 -1.334 -1.675
O 5.959 -0.795 1.863
O 2.677 -2.869 -2.642
O 3.415 -2.181 2.441
O 0.820 -3.561 3.005
Sn 0.674 -2.602 -3.268
Sn -1.183 -3.293 2.378
Sn 4.006 -0.535 1.252
Pb 0.000 0.000 0.000
Ba 1.074 -0.613 3.449
Ba 2.932 0.078 -2.197
Ba 1.749 -3.215 0.181
Ba -2.257 -2.680 -1.071
! Raw formation energy = -196.5 kJ/mol of atoms
! Total moment = 0.000 μB/atom

! Ca2MgCu3As4 (PBE-GGA, relaxed); values from VASP
&SYSTEM
  ibrav = 0, nat = 10, ntyp = 4
/
ATOMIC_SPECIES
Cu 63.55 Cu.upf
As 74.92 As.upf
Ca 40.08 Ca.upf
Mg 24.30 Mg.upf
CELL_PARAMETERS angstrom
-3.507 2.032 -1.358
-2.056 -3.737 -0.281
-3.243 1.038 9.931
ATOMIC_POSITIONS angstrom
Cu -1.435 -1.738 1.105
Cu -4.590 1.924 8.007
Cu -1.621 0.519 4.966
As -2.782 -0.853 -0.819
As -3.849 1.687 5.740
As 0.000 0.000 0.000
As -2.175 -1.501 3.372
Ca -2.510 1.258 1.639
Ca -3.514 -1.072 7.473
Mg -4.403 -0.333 4.146
! Energy of formation = -5.80 eV per formula unit
! Total moment = 0.000 μB/atom

! Ac6Hg2S (PBE-GGA, relaxed); values from VASP
&SYSTEM
  ibrav = 0, nat = 18, ntyp = 3
/
ATOMIC_SPECIES
Ac 227.00 Ac.upf
Hg 200.59 Hg.upf
S 32.06 S.upf
CELL_PARAMETERS angstrom
-4.936 4.668 -2.758
2.976 -1.324 -7.567
-7.707 -8.213 -1.593
ATOMIC_POSITIONS angstrom
Ac -3.230 2.296 -3.261
Ac -7.096 -3.493 -10.871
Ac -2.079 -1.140 -5.379
Ac -7.589 -3.730 -6.539
Ac -6.080 -0.784 -4.035
Ac -6.437 -7.166 -8.657
Ac -2.507 2.491 -7.688
Ac -2.571 -1.377 -1.047
Ac -5.485 -0.533 -8.137
Ac -4.183 -4.337 -3.781
Ac -3.587 -4.085 -7.883
Ac -7.160 -7.361 -4.231
Hg -7.420 -4.190 -3.204
Hg -2.247 -0.679 -8.715
Hg -4.445 -6.759 -6.068
Hg -5.223 1.889 -5.850
S -3.854 -4.107 -0.797
S -0.980 1.672 -5.162
! Raw formation energy = -57.3 kJ/mol of atoms
! Total moment = 0.000 μB/atom

! FeAg2Ir (PBE-GGA, relaxed); values from VASP
&SYSTEM
  ibrav = 0, nat = 4, ntyp = 3
/
ATOMIC_SPECIES
Ag 107.87 Ag.upf
Ir 192.22 Ir.upf
Fe 55.84 Fe.upf
CELL_PARAMETERS angstrom
-2.128 -0.435 -3.729
2.746 -2.300 -1.298
-1.856 -3.013 1.411
ATOMIC_POSITIONS angstrom
Ag 0.445 -2.657 0.056
Ag 0.000 0.000 0.000
Ir -1.992 -1.724 -1.159
Fe 0.309 -1.368 -2.514
! Excess energy over the best structure of this formula in the dataset = 0.187 eV per atom
! Energy of formation = 1.53 eV per formula unit
! Total moment = 0.997 μB/atom

! Cs3U2AgTe6 (PBE-GGA, relaxed); values from VASP
&SYSTEM
  ibrav = 0, nat = 12, ntyp = 4
/
ATOMIC_SPECIES
Te 127.60 Te.upf
Ag 107.87 Ag.upf
Cs 132.91 Cs.upf
U 238.03 U.upf
CELL_PARAMETERS angstrom
7.918 -0.012 0.006
-3.967 6.852 0.006
-1.311 -2.270 8.857
ATOMIC_POSITIONS angstrom
Te 2.728 -0.006 1.674
Te 2.605 4.511 1.638
Te -1.369 2.360 1.674
Te -0.089 4.576 7.194
Te 0.034 0.059 7.230
Te 4.008 2.210 7.194
Ag 0.000 0.000 0.000
Cs 1.320 2.285 4.434
Cs 5.353 -0.045 4.434
Cs -2.714 4.615 4.434
U -0.011 4.567 0.006
U 3.961 2.273 0.006
! Raw formation energy = -72.8 kJ/mol of atoms
! Total moment = 0.333 μB/atom

! HoSi6Rh12 (PBE-GGA, relaxed); values from VASP
&SYSTEM
  ibrav = 0, nat = 19, ntyp = 3
/
ATOMIC_SPECIES
Rh 102.91 Rh.upf
Si 28.09 Si.upf
Ho 164.93 Ho.upf
CELL_PARAMETERS angstrom
6.950 -0.081 -0.114
-1.801 6.713 -0.114
-1.801 -2.320 6.300
ATOMIC_POSITIONS angstrom
Rh 1.445 4.130 3.414
Rh -1.564 4.670 3.036
Rh 3.643 2.424 3.414
Rh 1.674 -1.187 5.409
Rh -0.296 1.887 2.658
Rh 1.902 0.181 2.658
Rh 1.674 5.498 0.662
Rh 4.912 2.984 0.662
Rh 4.912 -0.358 3.036
Rh 1.902 2.450 1.047
Rh -1.564 1.327 5.409
Rh 1.445 1.862 5.025
Si 3.307 0.283 4.610
Si 0.040 0.052 4.285
Si -0.546 3.274 4.610
Si 3.893 1.038 1.461
Si 3.307 4.260 1.787
Si 0.040 4.029 1.461
Ho 0.000 0.000 0.000
! Raw formation energy = -68.8 kJ/mol of atoms
! Total moment = 0.000 μB/atom

! Li3La (PBE-GGA, relaxed); values from VASP
&SYSTEM
  ibrav = 0, nat = 4, ntyp = 2
/
ATOMIC_SPECIES
Li 6.94 Li.upf
La 138.91 La.upf
CELL_PARAMETERS angstrom
5.683 -0.003 0.000
1.822 5.383 0.000
-3.753 -2.690 3.313
ATOMIC_POSITIONS angstrom
Li 2.841 -0.001 1.657
Li 3.753 2.690 0.000
Li 0.911 2.691 1.657
La 0.000 0.000 0.000
! Excess energy over the best structure of this formula in the dataset = 0.152 eV per atom
! Energy of formation = 0.75 eV per formula unit
! Total moment = 0.000 μB/atom

! CrPbS2N (PBE-GGA, relaxed); values from VASP
&SYSTEM
  ibrav = 0, nat = 5, ntyp = 4
/
ATOMIC_SPECIES
Cr 52.00 Cr.upf
S 32.06 S.upf
N 14.01 N.upf
Pb 207.20 Pb.upf
CELL_PARAMETERS angstrom
-1.632 3.794 -2.641
-4.506 -0.680 1.807
0.769 2.258 2.768
ATOMIC_POSITIONS angstrom
Cr 0.000 0.000 0.000
S -2.253 -0.340 0.904
S -0.816 1.897 -1.320
N 0.385 1.129 1.384
Pb -2.684 2.685 0.967
! Raw formation energy = -9.8 kJ/mol of atoms
! Excess energy over the best structure of this formula in the dataset = 0.000 eV per atom
! Total moment = 0.202 μB/atom

N(E_F), record by record: 0.4486; 0.9479; 0.8839; 1.7052; 0.2487; 0.1017; 1.3637; 0.7847; 0.8296; 0.6474; 0.7649; 0.4782 states/eV per atom
Theoretical density, record by record: 16.28; 8.58; 8.91; 9.81; 7.15; 5.15; 8.69; 12.29; 6.04; 9.00; 2.62; 6.38 Mg/m³